# Pr2Be2Ge3

A geometry-optimized Pr2Be2Ge3 structure (GGA-PBE, Alexandria).

It has space group Cmcm (No. 63), with a = 4.035 Å, b = 19.414 Å, c = 7.034 Å, α = 90.00°, β = 90.00° and γ = 90.00°. Symmetry generates all atoms from Pr at (0.000, 0.044, 0.250), Pr at (0.000, 0.176, 0.750), Be at (0.000, 0.339, 0.601), Ge at (0.000, 0.203, 0.250) and Ge at (0.000, 0.435, 0.074).

For the density, the calculation gives 6.24 Mg/m³. For the calculated total energy, the calculation gives -4.880 eV/atom. The calculation puts the energy of formation at -3.3 eV/f.u.